Record 1
The following is a GGA-PBE calculation of a geometry-optimized TaTe2Pb structure, from the Alexandria database.

Cell: 10.525 10.525 10.525 Å, 19.88 19.88 19.88°
Fractional coordinates of all 4 atoms:
1 Ta 0.500 0.500 0.500
2 Pb 0.000 0.000 0.000
3 Te 0.107 0.107 0.107
4 Te 0.893 0.893 0.893

## Properties
The value obtained for the density of states at the Fermi level is 0.569 states/eV per atom. The calculation puts the uncorrected formation energy at -0.8 eV per formula unit. The space group is R-3m. Its total energy is -5.661 eV/atom.



Record 2
The following is a GGA-PBE calculation of a geometry-optimized TaTe2Pb structure, from the Alexandria database.

Cell: 9.394 9.394 9.394 Å, 158.33 158.10 31.00°
Fractional coordinates of all 4 atoms:
1 Te 0.084 0.084 0.000
2 Te 0.776 0.276 0.500
3 Pb 0.440 0.440 0.000
4 Ta 0.200 0.700 0.500

## Properties
The value obtained for the density of states at the Fermi level is 0.762 states/eV per atom. The calculation puts the uncorrected formation energy at 0.2 eV per formula unit. The space group is Imm2. Its total energy is -5.421 eV/atom.



Record 3
The following is a GGA-PBE calculation of a geometry-optimized Ta2TePb structure, from the Alexandria database.

Cell: 4.963 4.963 4.963 Å, 60.00 60.00 60.00°
Fractional coordinates of all 4 atoms:
1 Ta 0.000 0.000 0.000
2 Ta 0.750 0.750 0.750
3 Te 0.250 0.250 0.250
4 Pb 0.500 0.500 0.500

## Properties
The value obtained for the density of states at the Fermi level is 0.116 states/eV per atom. The calculation puts the uncorrected formation energy at 2.7 eV per formula unit. The space group is F-43m. Its total energy is -6.973 eV/atom.



Record 4
The following is a GGA-PBE calculation of a geometry-optimized Ta2TePb structure, from the Alexandria database.

Cell: 5.893 5.893 5.893 Å, 145.96 129.58 62.24°
Fractional coordinates of all 4 atoms:
1 Te 0.526 0.526 0.000
2 Ta 0.980 0.980 0.000
3 Ta 0.756 0.256 0.500
4 Pb 0.238 0.738 0.500

## Properties
The value obtained for the density of states at the Fermi level is 0.794 states/eV per atom. The calculation puts the uncorrected formation energy at 1.9 eV per formula unit. The space group is Imm2. Its total energy is -7.154 eV/atom.



Record 5
The following is a GGA-PBE calculation of a geometry-optimized Ta2TePb structure, from the Alexandria database.

Cell: 10.718 10.718 10.718 Å, 17.91 17.91 17.91°
Fractional coordinates of all 4 atoms:
1 Ta 0.986 0.986 0.986
2 Ta 0.256 0.256 0.256
3 Te 0.523 0.523 0.523
4 Pb 0.735 0.735 0.735

## Properties
The value obtained for the density of states at the Fermi level is 1.192 states/eV per atom. The calculation puts the uncorrected formation energy at 0.6 eV per formula unit. The space group is R3m. Its total energy is -7.484 eV/atom.



Record 6
The following is a GGA-PBE calculation of a geometry-optimized TaTe2Pb2 structure, from the Alexandria database.

Cell: 3.998 3.998 9.708 Å, 78.12 78.12 90.00°
Fractional coordinates of all 5 atoms:
1 Pb 0.250 0.750 0.500
2 Pb 0.750 0.250 0.500
3 Te 0.417 0.417 0.166
4 Te 0.583 0.583 0.834
5 Ta 0.000 0.000 0.000

## Properties
The value obtained for the density of states at the Fermi level is 0.688 states/eV per atom. The calculation puts the uncorrected formation energy at 3.3 eV per formula unit. The space group is I4/mmm. Its total energy is -4.452 eV/atom.



Record 7
The following is a GGA-PBE calculation of a geometry-optimized Ta2TePb structure, from the Alexandria database.

Cell: 4.884 4.884 4.884 Å, 60.00 60.00 60.00°
Fractional coordinates of all 4 atoms:
1 Te 0.000 0.000 0.000
2 Ta 0.250 0.250 0.250
3 Ta 0.750 0.750 0.750
4 Pb 0.500 0.500 0.500

## Properties
The value obtained for the density of states at the Fermi level is 0.408 states/eV per atom. The calculation puts the uncorrected formation energy at 1.9 eV per formula unit. The space group is Fm-3m. Its total energy is -7.171 eV/atom.



Record 8
The following is a GGA-PBE calculation of a geometry-optimized TaTePb structure, from the Alexandria database.

Cell: 3.686 8.626 6.221 Å, 66.34 72.81 64.75°
Fractional coordinates of all 6 atoms:
1 Ta 0.359 0.976 0.328
2 Ta 0.641 0.024 0.672
3 Te 0.026 0.701 0.547
4 Te 0.974 0.299 0.453
5 Pb 0.249 0.742 0.018
6 Pb 0.751 0.258 0.982

## Properties
The value obtained for the density of states at the Fermi level is 0.476 states/eV per atom. The calculation puts the uncorrected formation energy at 0.2 eV per formula unit. The space group is P-1. Its total energy is -6.172 eV/atom.